First-principles (PBE-GGA) data for a relaxed CrFe2Re crystal, as listed in Alexandria via LeMat-Bulk.

Crystal system ... orthorhombic
DFT total energy ... -9.52 eV per atom
Fermi-level density of states ... 17.8 states/eV per cell
Energy of formation ... 229 meV per atom

Unit cell a=2.5307 b=4.7815 c=16.6311 alpha=90.00 beta=90.00 gamma=90.05
Last column: magnetic moment on the atom in μB.
Sites, in units of the cell vectors:
1 Cr 0.5000 0.7500 0.6301  -0.47
2 Cr 0.5000 0.2500 0.3699  -0.47
3 Cr 0.0000 0.2500 0.1300  -0.47
4 Cr 0.0000 0.7500 0.8700  -0.47
5 Fe 0.0000 0.0000 0.0000  1.61
6 Fe 0.5000 0.5000 0.5000  1.62
7 Fe 0.2493 0.4998 0.7500  2.05
8 Fe 0.7507 0.5002 0.2500  2.05
9 Fe 0.7507 0.0002 0.7500  2.05
10 Fe 0.2493 0.9998 0.2500  2.05
11 Fe 0.0000 0.5000 0.0000  1.61
12 Fe 0.5000 0.0000 0.5000  1.62
13 Re 0.0000 0.2500 0.6188  -0.10
14 Re 0.5000 0.7500 0.1189  -0.10
15 Re 0.0000 0.7500 0.3812  -0.10
16 Re 0.5000 0.2500 0.8811  -0.10